# EuPuZnPt | Alexandria | PBE-GGA | optimized geometry
# ΔH_f (0 K)   -1.78 eV per formula unit
# SG   F-43m (216)
data_EuPuZnPt
_chemical_formula_sum 'Eu1 Pu1 Zn1 Pt1'
_symmetry_space_group_name_H-M 'P 1'
_symmetry_Int_Tables_number 1
_cell_length_a 5.076
_cell_length_b 5.076
_cell_length_c 5.076
_cell_angle_alpha 60.00
_cell_angle_beta 60.00
_cell_angle_gamma 60.00
loop_
_symmetry_equiv_pos_as_xyz
'x,y,z'
loop_
_atom_site_label
_atom_site_type_symbol
_atom_site_fract_x
_atom_site_fract_y
_atom_site_fract_z
Eu1 Eu 0.000 0.000 0.000
Pu1 Pu 0.500 0.500 0.500
Zn1 Zn 0.250 0.250 0.250
Pt1 Pt 0.750 0.750 0.750

# EuPtRh | Alexandria | PBE-GGA | optimized geometry
# ΔH_f (0 K)   -1.53 eV per formula unit
# SG   P-6m2 (187)
data_EuPtRh
_chemical_formula_sum 'Eu1 Pt1 Rh1'
_symmetry_space_group_name_H-M 'P 1'
_symmetry_Int_Tables_number 1
_cell_length_a 4.365
_cell_length_b 4.365
_cell_length_c 4.008
_cell_angle_alpha 90.00
_cell_angle_beta 90.00
_cell_angle_gamma 120.00
loop_
_symmetry_equiv_pos_as_xyz
'x,y,z'
loop_
_atom_site_label
_atom_site_type_symbol
_atom_site_fract_x
_atom_site_fract_y
_atom_site_fract_z
Eu1 Eu 0.000 0.000 0.000
Pt1 Pt 0.667 0.333 0.500
Rh1 Rh 0.333 0.667 0.500

# SmEuPtRh | Alexandria | PBE-GGA | optimized geometry
# ΔH_f (0 K)   -3.05 eV per formula unit
# SG   F-43m (216)
data_SmEuPtRh
_chemical_formula_sum 'Sm1 Eu1 Pt1 Rh1'
_symmetry_space_group_name_H-M 'P 1'
_symmetry_Int_Tables_number 1
_cell_length_a 5.005
_cell_length_b 5.005
_cell_length_c 5.005
_cell_angle_alpha 60.00
_cell_angle_beta 60.00
_cell_angle_gamma 60.00
loop_
_symmetry_equiv_pos_as_xyz
'x,y,z'
loop_
_atom_site_label
_atom_site_type_symbol
_atom_site_fract_x
_atom_site_fract_y
_atom_site_fract_z
Sm1 Sm 0.000 0.000 0.000
Eu1 Eu 0.500 0.500 0.500
Pt1 Pt 0.250 0.250 0.250
Rh1 Rh 0.750 0.750 0.750

# EuSnPtRh | Alexandria | PBE-GGA | optimized geometry
# ΔH_f (0 K)   -2.13 eV per formula unit
# SG   F-43m (216)
data_EuSnPtRh
_chemical_formula_sum 'Eu1 Sn1 Pt1 Rh1'
_symmetry_space_group_name_H-M 'P 1'
_symmetry_Int_Tables_number 1
_cell_length_a 4.824
_cell_length_b 4.824
_cell_length_c 4.824
_cell_angle_alpha 60.00
_cell_angle_beta 60.00
_cell_angle_gamma 60.00
loop_
_symmetry_equiv_pos_as_xyz
'x,y,z'
loop_
_atom_site_label
_atom_site_type_symbol
_atom_site_fract_x
_atom_site_fract_y
_atom_site_fract_z
Eu1 Eu 0.000 0.000 0.000
Sn1 Sn 0.500 0.500 0.500
Pt1 Pt 0.750 0.750 0.750
Rh1 Rh 0.250 0.250 0.250

# SrEuPtRh | Alexandria | PBE-GGA | optimized geometry
# ΔH_f (0 K)   -1.81 eV per formula unit
# SG   F-43m (216)
data_SrEuPtRh
_chemical_formula_sum 'Sr1 Eu1 Pt1 Rh1'
_symmetry_space_group_name_H-M 'P 1'
_symmetry_Int_Tables_number 1
_cell_length_a 5.090
_cell_length_b 5.090
_cell_length_c 5.090
_cell_angle_alpha 60.00
_cell_angle_beta 60.00
_cell_angle_gamma 60.00
loop_
_symmetry_equiv_pos_as_xyz
'x,y,z'
loop_
_atom_site_label
_atom_site_type_symbol
_atom_site_fract_x
_atom_site_fract_y
_atom_site_fract_z
Sr1 Sr 0.000 0.000 0.000
Eu1 Eu 0.500 0.500 0.500
Pt1 Pt 0.750 0.750 0.750
Rh1 Rh 0.250 0.250 0.250

# EuThPtRh | Alexandria | PBE-GGA | optimized geometry
# ΔH_f (0 K)   -3.26 eV per formula unit
# SG   F-43m (216)
data_EuThPtRh
_chemical_formula_sum 'Eu1 Th1 Pt1 Rh1'
_symmetry_space_group_name_H-M 'P 1'
_symmetry_Int_Tables_number 1
_cell_length_a 5.049
_cell_length_b 5.049
_cell_length_c 5.049
_cell_angle_alpha 60.00
_cell_angle_beta 60.00
_cell_angle_gamma 60.00
loop_
_symmetry_equiv_pos_as_xyz
'x,y,z'
loop_
_atom_site_label
_atom_site_type_symbol
_atom_site_fract_x
_atom_site_fract_y
_atom_site_fract_z
Eu1 Eu 0.000 0.000 0.000
Th1 Th 0.500 0.500 0.500
Pt1 Pt 0.750 0.750 0.750
Rh1 Rh 0.250 0.250 0.250

# EuYPtRh | Alexandria | PBE-GGA | optimized geometry
# ΔH_f (0 K)   -3.18 eV per formula unit
# SG   F-43m (216)
data_EuYPtRh
_chemical_formula_sum 'Eu1 Y1 Pt1 Rh1'
_symmetry_space_group_name_H-M 'P 1'
_symmetry_Int_Tables_number 1
_cell_length_a 4.959
_cell_length_b 4.959
_cell_length_c 4.959
_cell_angle_alpha 60.00
_cell_angle_beta 60.00
_cell_angle_gamma 60.00
loop_
_symmetry_equiv_pos_as_xyz
'x,y,z'
loop_
_atom_site_label
_atom_site_type_symbol
_atom_site_fract_x
_atom_site_fract_y
_atom_site_fract_z
Eu1 Eu 0.000 0.000 0.000
Y1 Y 0.500 0.500 0.500
Pt1 Pt 0.250 0.250 0.250
Rh1 Rh 0.750 0.750 0.750

# EuZrPtRh | Alexandria | PBE-GGA | optimized geometry
# ΔH_f (0 K)   -2.54 eV per formula unit
# SG   F-43m (216)
data_EuZrPtRh
_chemical_formula_sum 'Eu1 Zr1 Pt1 Rh1'
_symmetry_space_group_name_H-M 'P 1'
_symmetry_Int_Tables_number 1
_cell_length_a 4.842
_cell_length_b 4.842
_cell_length_c 4.842
_cell_angle_alpha 60.00
_cell_angle_beta 60.00
_cell_angle_gamma 60.00
loop_
_symmetry_equiv_pos_as_xyz
'x,y,z'
loop_
_atom_site_label
_atom_site_type_symbol
_atom_site_fract_x
_atom_site_fract_y
_atom_site_fract_z
Eu1 Eu 0.000 0.000 0.000
Zr1 Zr 0.500 0.500 0.500
Pt1 Pt 0.750 0.750 0.750
Rh1 Rh 0.250 0.250 0.250

# EuPtS | Alexandria | PBE-GGA | optimized geometry
# Formation energy without anion corrections   -3.52 eV per formula unit
# SG   P-6m2 (187)
data_EuPtS
_chemical_formula_sum 'Eu1 Pt1 S1'
_symmetry_space_group_name_H-M 'P 1'
_symmetry_Int_Tables_number 1
_cell_length_a 4.247
_cell_length_b 4.247
_cell_length_c 3.989
_cell_angle_alpha 90.00
_cell_angle_beta 90.00
_cell_angle_gamma 120.00
loop_
_symmetry_equiv_pos_as_xyz
'x,y,z'
loop_
_atom_site_label
_atom_site_type_symbol
_atom_site_fract_x
_atom_site_fract_y
_atom_site_fract_z
Eu1 Eu 0.000 0.000 0.000
Pt1 Pt 0.667 0.333 0.500
S1 S 0.333 0.667 0.500

# EuScPt | Alexandria | PBE-GGA | optimized geometry
# ΔH_f (0 K)   -1.93 eV per formula unit
# SG   P3m1 (156)
data_EuScPt
_chemical_formula_sum 'Eu1 Sc1 Pt1'
_symmetry_space_group_name_H-M 'P 1'
_symmetry_Int_Tables_number 1
_cell_length_a 4.112
_cell_length_b 4.112
_cell_length_c 5.865
_cell_angle_alpha 90.00
_cell_angle_beta 90.00
_cell_angle_gamma 120.00
loop_
_symmetry_equiv_pos_as_xyz
'x,y,z'
loop_
_atom_site_label
_atom_site_type_symbol
_atom_site_fract_x
_atom_site_fract_y
_atom_site_fract_z
Eu1 Eu 0.000 0.000 0.000
Sc1 Sc 0.667 0.333 0.498
Pt1 Pt 0.333 0.667 0.312

# EuScPt2 | Alexandria | PBE-GGA | optimized geometry
# ΔH_f (0 K)   -4.33 eV per formula unit
# SG   P4/mmm (123)
data_EuScPt2
_chemical_formula_sum 'Eu1 Sc1 Pt2'
_symmetry_space_group_name_H-M 'P 1'
_symmetry_Int_Tables_number 1
_cell_length_a 3.386
_cell_length_b 3.386
_cell_length_c 7.118
_cell_angle_alpha 90.00
_cell_angle_beta 90.00
_cell_angle_gamma 90.00
loop_
_symmetry_equiv_pos_as_xyz
'x,y,z'
loop_
_atom_site_label
_atom_site_type_symbol
_atom_site_fract_x
_atom_site_fract_y
_atom_site_fract_z
Eu1 Eu 0.000 0.000 0.000
Sc1 Sc 0.000 0.000 0.500
Pt1 Pt 0.500 0.500 0.289
Pt2 Pt 0.500 0.500 0.711

# EuScPt2 | Alexandria | PBE-GGA | optimized geometry
# ΔH_f (0 K)   -3.84 eV per formula unit
# SG   P4/mmm (123)
data_EuScPt2
_chemical_formula_sum 'Eu1 Sc1 Pt2'
_symmetry_space_group_name_H-M 'P 1'
_symmetry_Int_Tables_number 1
_cell_length_a 4.889
_cell_length_b 4.889
_cell_length_c 3.406
_cell_angle_alpha 90.00
_cell_angle_beta 90.00
_cell_angle_gamma 90.00
loop_
_symmetry_equiv_pos_as_xyz
'x,y,z'
loop_
_atom_site_label
_atom_site_type_symbol
_atom_site_fract_x
_atom_site_fract_y
_atom_site_fract_z
Eu1 Eu 0.000 0.000 0.000
Sc1 Sc 0.500 0.500 0.000
Pt1 Pt 0.000 0.500 0.500
Pt2 Pt 0.500 0.000 0.500